A plane-wave DFT calculation with GGA-PBE was carried out for Li3Bi2Pd after structural relaxation.

Results
Volume = 21.68 Å³/atom
Energy of formation = -0.2756 eV per atom
Symmetry = No. 72

abc: 9.0229 5.7012 7.3527
angles: 112.81 127.85 90.00
Sites, in units of the cell vectors:
Bi: 0.8869 0.1452 0.2903
Bi: 0.5966 0.3548 0.7097
Bi: 0.1131 0.8548 0.7097
Li: 0.5000 0.7500 0.0000
Li: 0.7831 0.0331 0.5661
Li: 0.7831 0.5331 0.5661
Pd: 0.0000 0.0000 0.0000
Pd: 0.0000 0.5000 0.0000
Li: 0.5000 0.2500 0.0000
Li: 0.2169 0.9669 0.4339
Bi: 0.4034 0.6452 0.2903
Li: 0.2169 0.4669 0.4339

A plane-wave DFT calculation with GGA-PBE was carried out for LiZrOs2 after structural relaxation.

Results
Volume = 15.99 Å³/atom
Energy of formation = 0.2564 eV per atom
Symmetry = No. 65

abc: 4.7593 4.7593 3.0569
angles: 90.00 90.00 112.52
Sites, in units of the cell vectors:
Os: 0.0000 0.0000 0.0000
Li: 0.0000 0.5000 0.5000
Zr: 0.5000 0.0000 0.5000
Os: 0.5000 0.5000 0.0000

The lowest volume belongs to which entry? LiZrOs2